No. 1
Below is Pr4SmSb2 after structural relaxation, with properties calculated at the PBE-GGA level.

Values from the calculation:
**Formation energy without anion corrections**: 0.66 eV/f.u.
**E**: -4.4890 eV/atom

```
Pr4SmSb2
1.0
-2.7367 2.7367 8.5461
2.7367 -2.7367 8.5461
2.7367 2.7367 -8.5461
Pr Sm Sb
4 1 2
direct
0.0000 0.5000 0.5000
0.1839 0.1839 0.0000
0.5000 0.0000 0.5000
0.8161 0.8161 0.0000
0.0000 0.0000 0.0000
0.3670 0.3670 0.0000
0.6330 0.6330 0.0000
```

***

No. 2
Below is Ac4PmBi5 after structural relaxation, with properties calculated at the PBE-GGA level.

Values from the calculation:
**ΔE_f**: -0.978 eV/atom
**E**: -5.0369 eV/atom

```
Ac4PmBi5
1.0
-5.3914 5.3914 3.4158
5.3914 -5.3914 3.4158
5.3914 5.3914 -3.4158
Ac Pm Bi
4 1 5
direct
0.0971 0.3000 0.3972
0.3000 0.9029 0.2029
0.7000 0.0971 0.7971
0.9029 0.7000 0.6028
0.5000 0.5000 0.0000
0.0000 0.0000 0.0000
0.2086 0.5976 0.8062
0.4024 0.2086 0.6110
0.5976 0.7914 0.3890
0.7914 0.4024 0.1938
```